Sr5ThN4 after structural relaxation, computed with GGA-PBE.

Calculated values
symmetry	C2/m, No. 12
calculated volume	241	Å³ per cell

Lattice parameters (Å, degrees): 8.623 8.623 7.736 101.15 101.15 25.33
Fractional positions:
Sr (0.000, 0.000, 0.000)
Sr (0.336, 0.336, 0.644)
Sr (0.344, 0.344, 0.207)
Sr (0.656, 0.656, 0.793)
Sr (0.664, 0.664, 0.356)
Th (0.000, 0.000, 0.500)
N (0.151, 0.151, 0.569)
N (0.500, 0.500, 0.275)
N (0.500, 0.500, 0.725)
N (0.849, 0.849, 0.431)

***

SrTh3N4 after structural relaxation, computed with GGA-PBE.

Calculated values
symmetry	P6_3/mmc, No. 194
calculated volume	286	Å³ per cell

Lattice parameters (Å, degrees): 3.689 3.689 24.270 90.00 90.00 120.00
Fractional positions:
Sr (0.333, 0.667, 0.250)
Sr (0.667, 0.333, 0.750)
Th (0.000, 0.000, 0.000)
Th (0.000, 0.000, 0.500)
Th (0.333, 0.667, 0.624)
Th (0.333, 0.667, 0.876)
Th (0.667, 0.333, 0.124)
Th (0.667, 0.333, 0.376)
N (0.000, 0.000, 0.176)
N (0.000, 0.000, 0.324)
N (0.000, 0.000, 0.676)
N (0.000, 0.000, 0.824)
N (0.333, 0.667, 0.063)
N (0.333, 0.667, 0.437)
N (0.667, 0.333, 0.563)
N (0.667, 0.333, 0.937)

***

SrTh2TiN4 after structural relaxation, computed with GGA-PBE.

Calculated values
symmetry	Cmcm, No. 63
calculated volume	276	Å³ per cell

Lattice parameters (Å, degrees): 6.432 6.432 12.507 90.00 90.00 147.71
Fractional positions:
Sr (0.094, 0.906, 0.750)
Sr (0.906, 0.094, 0.250)
Th (0.368, 0.632, 0.544)
Th (0.368, 0.632, 0.956)
Th (0.632, 0.368, 0.044)
Th (0.632, 0.368, 0.456)
Ti (0.176, 0.824, 0.250)
Ti (0.824, 0.176, 0.750)
N (0.000, 0.000, 0.000)
N (0.000, 0.000, 0.500)
N (0.262, 0.738, 0.123)
N (0.262, 0.738, 0.377)
N (0.407, 0.593, 0.750)
N (0.593, 0.407, 0.250)
N (0.738, 0.262, 0.623)
N (0.738, 0.262, 0.877)

***

Sr4Th3TiN8 after structural relaxation, computed with GGA-PBE.

Calculated values
symmetry	C2/m, No. 12
calculated volume	274	Å³ per cell

Lattice parameters (Å, degrees): 7.238 7.238 7.342 119.52 119.52 60.02
Fractional positions:
Sr (0.000, 0.000, 0.000)
Sr (0.000, 0.500, 0.000)
Sr (0.500, 0.000, 0.000)
Sr (0.500, 0.500, 0.000)
Th (0.000, 0.000, 0.500)
Th (0.000, 0.500, 0.500)
Th (0.500, 0.000, 0.500)
Ti (0.500, 0.500, 0.500)
N (0.238, 0.238, 0.713)
N (0.254, 0.725, 0.704)
N (0.275, 0.746, 0.296)
N (0.276, 0.276, 0.297)
N (0.724, 0.724, 0.703)
N (0.725, 0.254, 0.704)
N (0.746, 0.275, 0.296)
N (0.762, 0.762, 0.287)

***

Sr3Th2UN6 after structural relaxation, computed with GGA-PBE.

Calculated values
symmetry	C2/m, No. 12
calculated volume	212	Å³ per cell

Lattice parameters (Å, degrees): 6.361 6.361 6.403 99.55 99.55 120.01
Fractional positions:
Sr (0.000, 0.000, 0.000)
Sr (0.336, 0.664, 0.000)
Sr (0.664, 0.336, 0.000)
Th (0.167, 0.833, 0.500)
Th (0.833, 0.167, 0.500)
U (0.500, 0.500, 0.500)
N (0.122, 0.433, 0.299)
N (0.256, 0.256, 0.699)
N (0.433, 0.122, 0.299)
N (0.567, 0.878, 0.701)
N (0.744, 0.744, 0.301)
N (0.878, 0.567, 0.701)

***

Sr2ThUN4 after structural relaxation, computed with GGA-PBE.

Calculated values
symmetry	P2/m, No. 10
calculated volume	139	Å³ per cell

Lattice parameters (Å, degrees): 6.320 3.652 6.369 90.00 109.25 90.00
Fractional positions:
Sr (0.000, 0.000, 0.000)
Sr (0.500, 0.500, 0.000)
Th (0.000, 0.500, 0.500)
U (0.500, 0.000, 0.500)
N (0.259, 0.000, 0.696)
N (0.284, 0.500, 0.304)
N (0.716, 0.500, 0.696)
N (0.741, 0.000, 0.304)

***

SrTh2UN4 after structural relaxation, computed with GGA-PBE.

Calculated values
symmetry	I-4m2, No. 119
calculated volume	268	Å³ per cell

Lattice parameters (Å, degrees): 5.119 5.119 10.230 90.00 90.00 90.00
Fractional positions:
Sr (0.000, 0.000, 0.000)
Sr (0.500, 0.500, 0.500)
Th (0.000, 0.000, 0.500)
Th (0.000, 0.500, 0.250)
Th (0.500, 0.000, 0.750)
Th (0.500, 0.500, 0.000)
U (0.000, 0.500, 0.750)
U (0.500, 0.000, 0.250)
N (0.000, 0.000, 0.258)
N (0.000, 0.000, 0.742)
N (0.000, 0.500, 0.525)
N (0.000, 0.500, 0.975)
N (0.500, 0.000, 0.025)
N (0.500, 0.000, 0.475)
N (0.500, 0.500, 0.242)
N (0.500, 0.500, 0.758)

***

SrTh2VN4 after structural relaxation, computed with GGA-PBE.

Calculated values
symmetry	Cmcm, No. 63
calculated volume	272	Å³ per cell

Lattice parameters (Å, degrees): 6.389 6.389 12.324 90.00 90.00 147.32
Fractional positions:
Sr (0.089, 0.911, 0.750)
Sr (0.911, 0.089, 0.250)
Th (0.367, 0.633, 0.547)
Th (0.367, 0.633, 0.953)
Th (0.633, 0.367, 0.047)
Th (0.633, 0.367, 0.453)
V (0.177, 0.823, 0.250)
V (0.823, 0.177, 0.750)
N (0.000, 0.000, 0.000)
N (0.000, 0.000, 0.500)
N (0.260, 0.740, 0.123)
N (0.260, 0.740, 0.377)
N (0.401, 0.599, 0.750)
N (0.599, 0.401, 0.250)
N (0.740, 0.260, 0.623)
N (0.740, 0.260, 0.877)

***

SrThWN4 after structural relaxation, computed with GGA-PBE.

Calculated values
symmetry	Cmcm, No. 63
calculated volume	204	Å³ per cell

Lattice parameters (Å, degrees): 7.107 7.107 5.554 90.00 90.00 133.20
Fractional positions:
Sr (0.104, 0.896, 0.750)
Sr (0.896, 0.104, 0.250)
Th (0.397, 0.603, 0.750)
Th (0.603, 0.397, 0.250)
W (0.234, 0.766, 0.250)
W (0.766, 0.234, 0.750)
N (0.000, 0.500, 0.000)
N (0.000, 0.500, 0.500)
N (0.091, 0.909, 0.250)
N (0.431, 0.569, 0.250)
N (0.500, 0.000, 0.000)
N (0.500, 0.000, 0.500)
N (0.569, 0.431, 0.750)
N (0.909, 0.091, 0.750)

***

SrTh2WN4 after structural relaxation, computed with GGA-PBE.

Calculated values
symmetry	Cmcm, No. 63
calculated volume	275	Å³ per cell

Lattice parameters (Å, degrees): 6.541 6.541 12.148 90.00 90.00 148.04
Fractional positions:
Sr (0.115, 0.885, 0.750)
Sr (0.885, 0.115, 0.250)
Th (0.368, 0.632, 0.540)
Th (0.368, 0.632, 0.960)
Th (0.632, 0.368, 0.040)
Th (0.632, 0.368, 0.460)
W (0.154, 0.846, 0.250)
W (0.846, 0.154, 0.750)
N (0.000, 0.000, 0.000)
N (0.000, 0.000, 0.500)
N (0.264, 0.736, 0.128)
N (0.264, 0.736, 0.372)
N (0.416, 0.584, 0.750)
N (0.584, 0.416, 0.250)
N (0.736, 0.264, 0.628)
N (0.736, 0.264, 0.872)

***

SrThZnN3 after structural relaxation, computed with GGA-PBE.

Calculated values
symmetry	P2_1/m, No. 11
calculated volume	210	Å³ per cell

Lattice parameters (Å, degrees): 7.555 3.642 7.697 90.00 97.54 90.00
Fractional positions:
Sr (0.161, 0.250, 0.193)
Sr (0.839, 0.750, 0.807)
Th (0.359, 0.750, 0.824)
Th (0.641, 0.250, 0.176)
Zn (0.095, 0.250, 0.595)
Zn (0.905, 0.750, 0.405)
N (0.146, 0.250, 0.857)
N (0.175, 0.750, 0.509)
N (0.426, 0.750, 0.136)
N (0.574, 0.250, 0.864)
N (0.825, 0.250, 0.491)
N (0.854, 0.750, 0.143)

***

Sr4Th3ZrN8 after structural relaxation, computed with GGA-PBE.

Calculated values
symmetry	R-3m, No. 166
calculated volume	281	Å³ per cell

Lattice parameters (Å, degrees): 7.388 7.388 7.388 59.30 59.30 59.30
Fractional positions:
Sr (0.000, 0.000, 0.000)
Sr (0.000, 0.500, 0.500)
Sr (0.500, 0.000, 0.500)
Sr (0.500, 0.500, 0.000)
Th (0.000, 0.000, 0.500)
Th (0.000, 0.500, 0.000)
Th (0.500, 0.000, 0.000)
Zr (0.500, 0.500, 0.500)
N (0.237, 0.237, 0.237)
N (0.249, 0.728, 0.728)
N (0.272, 0.272, 0.751)
N (0.272, 0.751, 0.272)
N (0.728, 0.249, 0.728)
N (0.728, 0.728, 0.249)
N (0.751, 0.272, 0.272)
N (0.763, 0.763, 0.763)

***

Quick rundown of ΔE_f (raw), same order as above: -0.791, -1.425, -1.313, -1.183, -1.281, -1.237, -1.258, -1.200, -1.031, -0.969, -0.658, -1.286 eV/atom
Quick rundown of calculated total energy, same order as above: -5.704, -8.581, -8.528, -7.650, -8.041, -8.159, -8.897, -8.568, -8.939, -8.816, -6.550, -7.794 eV/atom
Quick rundown of total magnetization, same order as above: 0.57, 0.00, 0.00, 0.00, 1.22, 1.46, 3.39, 2.11, 0.00, 0.00, 1.53, 0.00 Bohr magnetons per cell